(1)
NaPrZnSe3 | OQMD | GGA-PBE | optimized geometry; space group = C2/m, No. 12; uncorrected energy = -49.85 eV per cell
1.0
9.844 -2.096 0.000
9.844 2.096 0.000
-2.091 0.000 7.869
Na Pr Se Zn
2 2 6 2
direct
0.886 0.886 0.423
0.114 0.114 0.577
0.174 0.174 0.094
0.826 0.826 0.906
0.000 0.000 0.000
0.327 0.327 0.158
0.663 0.663 0.341
0.500 0.500 0.500
0.337 0.337 0.659
0.673 0.673 0.842
0.535 0.535 0.230
0.465 0.465 0.770

(2)
YTaNb2 | OQMD | GGA-PBE | optimized geometry; space group = F-43m, No. 216; E_form = 0.38 eV per atom; uncorrected energy = -36.98 eV per cell
1.0
-4.477 1.653 0.951
-2.006 -0.780 4.364
-0.619 3.707 3.091
Nb Ta Y
2 1 1
direct
0.500 0.500 0.500
0.750 0.750 0.750
0.250 0.250 0.250
0.000 0.000 0.000

(3)
HoTmIn | OQMD | GGA-PBE | optimized geometry; space group = P6_3/mmc, No. 194; uncorrected energy = -25.66 eV per cell
1.0
5.334 0.000 0.000
-2.667 4.619 0.000
0.000 0.000 6.660
Ho In Tm
2 2 2
direct
0.667 0.333 0.250
0.333 0.667 0.750
0.333 0.667 0.250
0.667 0.333 0.750
0.000 0.000 0.000
0.000 0.000 0.500

(4)
LaAgPbS3 | OQMD | GGA-PBE | optimized geometry; space group = Pnma, No. 62; uncorrected energy = -121.70 eV per cell
1.0
-4.794 -0.567 6.767
3.484 -0.581 2.420
1.183 16.271 2.201
Ag La Pb S
4 4 4 12
direct
0.880 0.750 0.132
0.380 0.750 0.368
0.620 0.250 0.632
0.120 0.250 0.868
0.264 0.750 0.037
0.764 0.750 0.463
0.236 0.250 0.537
0.736 0.250 0.963
0.592 0.250 0.237
0.092 0.250 0.263
0.908 0.750 0.737
0.408 0.750 0.763
0.614 0.750 0.059
0.033 0.250 0.091
0.312 0.750 0.215
0.812 0.750 0.285
0.533 0.250 0.409
0.114 0.750 0.441
0.886 0.250 0.559
0.467 0.750 0.591
0.188 0.250 0.715
0.688 0.250 0.785
0.967 0.750 0.909
0.386 0.250 0.941

(5)
TbPuAg | OQMD | GGA-PBE | optimized geometry; space group = F-43m, No. 216; E_form = 0.25 eV per atom; uncorrected energy = -20.82 eV per cell
1.0
-4.646 -0.921 1.374
-2.440 3.258 2.785
-3.708 2.612 -1.937
Ag Pu Tb
1 1 1
direct
0.000 0.000 0.000
0.250 0.250 0.250
0.750 0.750 0.750

(6)
Zr4AlCdC2 | OQMD | GGA-PBE | optimized geometry; space group = P-6m2, No. 187; uncorrected energy = -61.98 eV per cell
1.0
-2.050 -0.896 2.471
-0.368 -1.328 -3.035
9.342 -11.101 3.724
Al C Cd Zr
1 2 1 4
direct
0.000 0.000 0.000
0.667 0.333 0.243
0.667 0.333 0.757
0.333 0.667 0.500
0.333 0.667 0.158
0.000 0.000 0.327
0.000 0.000 0.673
0.333 0.667 0.842

(7)
B2Pd2Pt | OQMD | GGA-PBE | optimized geometry; space group = I4/mmm, No. 139; uncorrected energy = -29.55 eV per cell
1.0
7.051 -0.629 -0.185
6.061 3.012 -2.082
-6.418 -0.189 2.987
B Pd Pt
2 2 1
direct
0.750 0.250 0.500
0.250 0.750 0.500
0.362 0.362 0.000
0.638 0.638 0.000
0.000 0.000 0.000

(8)
Y2Er3Tm3Te | OQMD | GGA-PBE | optimized geometry; space group = P-62m, No. 189; uncorrected energy = -45.66 eV per cell
1.0
-0.965 -5.739 7.076
1.195 -3.315 -8.456
3.711 0.015 0.518
Er Te Tm Y
3 1 3 2
direct
0.274 0.000 0.500
0.000 0.274 0.500
0.726 0.726 0.500
0.000 0.000 0.000
0.617 0.000 0.000
0.383 0.383 0.000
0.000 0.617 0.000
0.667 0.333 0.500
0.333 0.667 0.500

(9)
CdGeAsO | OQMD | GGA-PBE | optimized geometry; space group = Pmc2_1, No. 26; uncorrected energy = -33.31 eV per cell
1.0
-2.274 -2.247 2.356
4.421 0.338 4.590
-2.726 5.115 2.248
As Cd Ge O
2 2 2 2
direct
0.000 0.344 0.352
0.000 0.656 0.852
0.500 0.848 0.039
0.500 0.152 0.539
0.000 0.717 0.459
0.000 0.283 0.959
0.500 0.815 0.405
0.500 0.185 0.905

(10)
HoInAg | OQMD | GGA-PBE | optimized geometry; space group = F-43m, No. 216; uncorrected energy = -9.71 eV per cell
1.0
-3.771 -2.314 2.145
-1.831 1.690 4.239
-4.443 2.103 0.093
Ag Ho In
1 1 1
direct
0.000 0.000 0.000
0.250 0.250 0.250
0.500 0.500 0.500

(11)
ThReSn | OQMD | GGA-PBE | optimized geometry; space group = F-43m, No. 216; uncorrected energy = -21.65 eV per cell
1.0
1.276 -1.019 4.531
-3.382 -0.885 3.313
-0.578 -4.462 1.719
Re Sn Th
1 1 1
direct
0.750 0.750 0.750
0.000 0.000 0.000
0.250 0.250 0.250

(12)
HoHfSi2 | OQMD | GGA-PBE | optimized geometry; space group = Pmn2_1, No. 31; uncorrected energy = -57.08 eV per cell
1.0
3.764 0.000 0.000
0.000 7.454 0.000
0.000 0.000 5.422
Hf Ho Si
2 2 4
direct
0.000 0.934 0.380
0.500 0.066 0.880
0.000 0.426 0.122
0.500 0.574 0.622
0.500 0.725 0.136
0.500 0.196 0.362
0.000 0.275 0.636
0.000 0.804 0.862

(13)
K2Ag2Au | OQMD | GGA-PBE | optimized geometry; space group = Immm, No. 71; uncorrected energy = -11.82 eV per cell
1.0
2.998 4.631 3.260
-4.170 2.500 4.174
2.096 -5.934 -1.208
Ag Au K
2 1 2
direct
0.747 0.500 0.247
0.253 0.500 0.753
0.000 0.000 0.000
0.695 0.195 0.500
0.305 0.805 0.500

(14)
Zn2OF2 | OQMD | GGA-PBE | optimized geometry; space group = I4_1/amd, No. 141; uncorrected energy = -39.71 eV per cell
1.0
5.761 0.000 0.000
0.000 5.761 0.000
-2.880 -2.880 4.811
F O Zn
4 2 4
direct
0.598 0.848 0.197
0.152 0.402 0.303
0.848 0.598 0.697
0.402 0.152 0.803
0.125 0.875 0.250
0.875 0.125 0.750
0.000 0.000 0.000
0.000 0.500 0.000
0.000 0.000 0.500
0.500 0.000 0.500

(15)
PrTe | OQMD | GGA-PBE | optimized geometry; space group = P-3m1, No. 164; uncorrected energy = -32.40 eV per cell
1.0
4.526 0.000 0.000
-2.263 3.920 0.000
0.000 0.000 11.113
Pr Te
3 3
direct
0.333 0.667 0.167
0.000 0.000 0.500
0.667 0.333 0.833
0.000 0.000 0.000
0.667 0.333 0.332
0.333 0.667 0.668

(16)
HoAl4Ag8 | OQMD | GGA-PBE | optimized geometry; space group = I4/mmm, No. 139; uncorrected energy = -44.81 eV per cell
1.0
-4.639 4.639 2.684
4.639 -4.639 2.684
4.639 4.639 -2.684
Ag Al Ho
8 4 1
direct
0.716 0.500 0.216
0.500 0.716 0.216
0.342 0.000 0.342
0.000 0.342 0.342
0.658 0.000 0.658
0.000 0.658 0.658
0.500 0.284 0.784
0.284 0.500 0.784
0.500 0.000 0.000
0.000 0.500 0.000
0.000 0.000 0.500
0.500 0.500 0.500
0.000 0.000 0.000

(17)
Al5Ni7 | OQMD | GGA-PBE | optimized geometry; space group = P6_3/mmc, No. 194; uncorrected energy = -119.17 eV per cell
1.0
-3.054 3.689 0.130
0.852 -2.260 -4.138
-11.490 -9.615 2.885
Al Ni
10 14
direct
0.500 0.000 0.000
0.000 0.500 0.000
0.500 0.500 0.000
0.667 0.333 0.162
0.667 0.333 0.338
0.500 0.000 0.500
0.000 0.500 0.500
0.500 0.500 0.500
0.333 0.667 0.662
0.333 0.667 0.838
0.000 0.000 0.089
0.333 0.667 0.124
0.162 0.325 0.250
0.162 0.838 0.250
0.675 0.838 0.250
0.333 0.667 0.376
0.000 0.000 0.411
0.000 0.000 0.589
0.667 0.333 0.624
0.325 0.162 0.750
0.838 0.162 0.750
0.838 0.675 0.750
0.667 0.333 0.876
0.000 0.000 0.911

(18)
Li2As2Au | OQMD | GGA-PBE | optimized geometry; space group = P4/mbm, No. 127; uncorrected energy = -37.00 eV per cell
1.0
-5.075 4.191 1.378
-4.123 -3.759 -3.753
-0.942 -2.208 3.246
As Au Li
4 2 4
direct
0.630 0.131 0.000
0.131 0.369 0.000
0.870 0.630 0.000
0.369 0.870 0.000
0.000 0.000 0.000
0.500 0.500 0.000
0.333 0.167 0.500
0.833 0.333 0.500
0.167 0.667 0.500
0.667 0.833 0.500

(19)
LaBPd3Pt | OQMD | GGA-PBE | optimized geometry; space group = P6/mmm, No. 191; uncorrected energy = -74.56 eV per cell
1.0
5.513 0.000 0.000
-2.757 4.775 0.000
0.000 0.000 7.684
B La Pd Pt
2 2 6 2
direct
0.667 0.333 0.500
0.333 0.667 0.500
0.000 0.000 0.000
0.000 0.000 0.500
0.500 0.000 0.303
0.000 0.500 0.303
0.500 0.500 0.303
0.500 0.000 0.697
0.000 0.500 0.697
0.500 0.500 0.697
0.667 0.333 0.000
0.333 0.667 0.000

(20)
ZnInW4N2 | OQMD | GGA-PBE | optimized geometry; space group = P-6m2, No. 187; uncorrected energy = -70.81 eV per cell
1.0
2.864 0.000 0.000
-1.432 2.480 0.000
0.000 0.000 15.213
In N W Zn
1 2 4 1
direct
0.000 0.000 0.000
0.333 0.667 0.256
0.333 0.667 0.744
0.667 0.333 0.162
0.000 0.000 0.351
0.000 0.000 0.649
0.667 0.333 0.838
0.667 0.333 0.500

(21)
LiTaNO | OQMD | GGA-PBE | optimized geometry; space group = Pmc2_1, No. 26; uncorrected energy = -65.37 eV per cell
1.0
-3.035 -1.449 -0.413
1.372 -1.519 -4.754
2.016 -4.827 2.124
Li N O Ta
2 2 2 2
direct
0.000 0.501 0.356
0.000 0.001 0.644
0.000 0.900 0.294
0.000 0.400 0.706
0.500 0.371 0.198
0.500 0.871 0.802
0.500 0.982 0.141
0.500 0.482 0.859

(22)
NdDy2Cu4Sn4 | OQMD | GGA-PBE | optimized geometry; space group = Immm, No. 71; uncorrected energy = -50.52 eV per cell
1.0
-2.238 3.519 7.392
2.238 -3.519 7.392
2.238 3.519 -7.392
Cu Dy Nd Sn
4 2 1 4
direct
0.642 0.329 0.312
0.983 0.671 0.312
0.017 0.329 0.688
0.358 0.671 0.688
0.631 0.131 0.500
0.369 0.869 0.500
0.000 0.000 0.000
0.218 0.218 0.000
0.782 0.782 0.000
0.698 0.500 0.198
0.302 0.500 0.802

(23)
CsCd | OQMD | GGA-PBE | optimized geometry; space group = P-6m2, No. 187; uncorrected energy = -1.51 eV per cell
1.0
4.622 0.000 0.000
-2.311 4.003 0.000
0.000 0.000 5.791
Cd Cs
1 1
direct
0.667 0.333 0.750
0.333 0.667 0.250

(24)
TlZnCuPt | OQMD | GGA-PBE | optimized geometry; space group = F-43m, No. 216; uncorrected energy = -13.32 eV per cell
1.0
0.000 3.212 3.212
3.212 0.000 3.212
3.212 3.212 0.000
Cu Pt Tl Zn
1 1 1 1
direct
0.750 0.750 0.750
0.250 0.250 0.250
0.000 0.000 0.000
0.500 0.500 0.500